First-principles (SCAN) data for LiCu4P3O12 at its PBEsol-relaxed geometry, as listed in the Alexandria database.

a = 5.9434 Å, b = 10.0631 Å, c = 14.1943 Å
α = 90.00°, β = 90.00°, γ = 90.00°
With the nearest neighbours (Å) after each atom.
Fractional coordinates of all 80 atoms:
1 Li 0.9356 0.2699 0.2500  5 O 1.93-2.12
2 Li 0.5644 0.7699 0.7500  5 O 1.93-2.12
3 Li 0.4356 0.2301 0.2500  5 O 1.93-2.12
4 Li 0.0644 0.7301 0.7500  5 O 1.93-2.12
5 Cu 0.9471 0.1520 0.6337  4 O 1.87-1.95
6 Cu 0.9471 0.1520 0.8663  4 O 1.87-1.95
7 Cu 0.8554 0.5589 0.5865  2 O 1.91
8 Cu 0.8554 0.5589 0.9135  2 O 1.91
9 Cu 0.6446 0.0589 0.0865  2 O 1.91
10 Cu 0.6446 0.0589 0.4135  2 O 1.91
11 Cu 0.5529 0.6520 0.1337  4 O 1.87-1.95
12 Cu 0.5529 0.6520 0.3663  4 O 1.87-1.95
13 Cu 0.4471 0.3480 0.6337  4 O 1.87-1.95
14 Cu 0.4471 0.3480 0.8663  4 O 1.87-1.95
15 Cu 0.3554 0.9411 0.5865  2 O 1.91
16 Cu 0.3554 0.9411 0.9135  2 O 1.91
17 Cu 0.1446 0.4411 0.0865  2 O 1.91
18 Cu 0.1446 0.4411 0.4135  2 O 1.91
19 Cu 0.0529 0.8480 0.1337  4 O 1.87-1.95
20 Cu 0.0529 0.8480 0.3663  4 O 1.87-1.95
21 P 0.9800 0.5979 0.2500  4 O 1.52-1.60
22 P 0.8661 0.8660 0.5727  4 O 1.53-1.59
23 P 0.8661 0.8660 0.9273  4 O 1.53-1.59
24 P 0.6339 0.3660 0.0727  4 O 1.53-1.59
25 P 0.6339 0.3660 0.4273  4 O 1.53-1.59
26 P 0.5200 0.0979 0.7500  4 O 1.52-1.60
27 P 0.4800 0.9021 0.2500  4 O 1.52-1.60
28 P 0.3661 0.6340 0.5727  4 O 1.53-1.59
29 P 0.3661 0.6340 0.9273  4 O 1.53-1.59
30 P 0.1339 0.1340 0.0727  4 O 1.53-1.59
31 P 0.1339 0.1340 0.4273  4 O 1.53-1.59
32 P 0.0200 0.4021 0.7500  4 O 1.52-1.60
33 O 0.9563 0.0311 0.1141  1 P 1.59
34 O 0.9563 0.0311 0.3859  1 P 1.59
35 O 0.9657 0.7951 0.0127  1 P 1.53
36 O 0.9657 0.7951 0.4873  1 P 1.53
37 O 0.9579 0.5489 0.7500  1 P 1.52
38 O 0.9226 0.3390 0.6593  1 P 1.55
39 O 0.9226 0.3390 0.8407  1 P 1.55
40 O 0.8377 0.4566 0.0475  1 P 1.56
41 O 0.8377 0.4566 0.4525  1 P 1.56
42 O 0.8119 0.7602 0.6469  1 P 1.53
43 O 0.8119 0.7602 0.8531  1 P 1.53
44 O 0.7870 0.1139 0.7500  1 P 1.60
45 O 0.7130 0.6139 0.2500  1 P 1.60
46 O 0.6881 0.2602 0.1469  1 P 1.53
47 O 0.6881 0.2602 0.3531  1 P 1.53
48 O 0.6623 0.9566 0.5475  1 P 1.56
49 O 0.6623 0.9566 0.9525  1 P 1.56
50 O 0.5774 0.8390 0.1593  1 P 1.55
51 O 0.5774 0.8390 0.3407  1 P 1.55
52 O 0.5421 0.0489 0.2500  1 P 1.52
53 O 0.5343 0.2951 0.5127  1 P 1.53
54 O 0.5343 0.2951 0.9873  1 P 1.53
55 O 0.5437 0.5311 0.6141  1 P 1.59
56 O 0.5437 0.5311 0.8859  1 P 1.59
57 O 0.4563 0.4689 0.1141  1 P 1.59
58 O 0.4563 0.4689 0.3859  1 P 1.59
59 O 0.4657 0.7049 0.0127  1 P 1.53
60 O 0.4657 0.7049 0.4873  1 P 1.53
61 O 0.4579 0.9511 0.7500  1 P 1.52
62 O 0.4226 0.1610 0.6593  1 P 1.55
63 O 0.4226 0.1610 0.8407  1 P 1.55
64 O 0.3377 0.0434 0.0475  1 P 1.56
65 O 0.3377 0.0434 0.4525  1 P 1.56
66 O 0.3119 0.7398 0.6469  1 P 1.53
67 O 0.3119 0.7398 0.8531  1 P 1.53
68 O 0.2870 0.3861 0.7500  1 P 1.60
69 O 0.2130 0.8861 0.2500  1 P 1.60
70 O 0.1881 0.2398 0.1469  1 P 1.53
71 O 0.1881 0.2398 0.3531  1 P 1.53
72 O 0.1623 0.5434 0.5475  1 P 1.56
73 O 0.1623 0.5434 0.9525  1 P 1.56
74 O 0.0774 0.6610 0.1593  1 P 1.55
75 O 0.0774 0.6610 0.3407  1 P 1.55
76 O 0.0421 0.4511 0.2500  1 P 1.52
77 O 0.0343 0.2049 0.5127  1 P 1.53
78 O 0.0343 0.2049 0.9873  1 P 1.53
79 O 0.0437 0.9689 0.6141  1 P 1.59
80 O 0.0437 0.9689 0.8859  1 P 1.59

Results
Formation energy from raw total energies in meV per atom: -1844.7
Calculated volume in Å³/atom: 10.61
Density in Mg/m³: 4.27
Symmetry: Pnma, No. 62

First-principles (SCAN) data for LiBH4O4 at its PBEsol-relaxed geometry, as listed in the Alexandria database.

a = 7.6029 Å, b = 8.3769 Å, c = 9.1549 Å
α = 90.00°, β = 90.00°, γ = 90.00°
With the nearest neighbours (Å) after each atom.
Fractional coordinates of all 80 atoms:
1 Li 0.3770 0.3751 0.3029  4 O 1.92-2.03
2 Li 0.8770 0.1249 0.6971  4 O 1.92-2.03
3 Li 0.6230 0.8751 0.1971  4 O 1.92-2.03
4 Li 0.1230 0.6249 0.8029  4 O 1.92-2.03
5 Li 0.6230 0.6249 0.6971  4 O 1.92-2.03
6 Li 0.1230 0.8751 0.3029  4 O 1.92-2.03
7 Li 0.3770 0.1249 0.8029  4 O 1.92-2.03
8 Li 0.8770 0.3751 0.1971  4 O 1.92-2.03
9 B 0.6740 0.1572 0.4104  4 O 1.46-1.50
10 B 0.1740 0.3428 0.5896  4 O 1.46-1.50
11 B 0.3260 0.6572 0.0896  4 O 1.46-1.50
12 B 0.8260 0.8428 0.9104  4 O 1.46-1.50
13 B 0.3260 0.8428 0.5896  4 O 1.46-1.50
14 B 0.8260 0.6572 0.4104  4 O 1.46-1.50
15 B 0.6740 0.3428 0.9104  4 O 1.46-1.50
16 B 0.1740 0.1572 0.0896  4 O 1.46-1.50
17 H 0.9333 0.2122 0.4289  1 O 1.02
18 H 0.4333 0.2878 0.5711  1 O 1.02
19 H 0.0667 0.7122 0.0711  1 O 1.02
20 H 0.5667 0.7878 0.9289  1 O 1.02
21 H 0.0667 0.7878 0.5711  1 O 1.02
22 H 0.5667 0.7122 0.4289  1 O 1.02
23 H 0.9333 0.2878 0.9289  1 O 1.02
24 H 0.4333 0.2122 0.0711  1 O 1.02
25 H 0.9769 0.1170 0.2471  1 O 1.02
26 H 0.4769 0.3830 0.7529  1 O 1.02
27 H 0.0231 0.6170 0.2529  1 O 1.02
28 H 0.5231 0.8830 0.7471  1 O 1.02
29 H 0.0231 0.8830 0.7529  1 O 1.02
30 H 0.5231 0.6170 0.2471  1 O 1.02
31 H 0.9769 0.3830 0.7471  1 O 1.02
32 H 0.4769 0.1170 0.2529  1 O 1.02
33 H 0.1051 0.4792 0.4112  1 O 1.01
34 H 0.6051 0.0208 0.5888  1 O 1.01
35 H 0.8949 0.9792 0.0888  1 O 1.01
36 H 0.3949 0.5208 0.9112  1 O 1.01
37 H 0.8949 0.5208 0.5888  1 O 1.01
38 H 0.3949 0.9792 0.4112  1 O 1.01
39 H 0.1051 0.0208 0.9112  1 O 1.01
40 H 0.6051 0.4792 0.0888  1 O 1.01
41 H 0.6513 0.3938 0.4756  1 O 1.00
42 H 0.1513 0.1062 0.5244  1 O 1.00
43 H 0.3487 0.8938 0.0244  1 O 1.00
44 H 0.8487 0.6062 0.9756  1 O 1.00
45 H 0.3487 0.6062 0.5244  1 O 1.00
46 H 0.8487 0.8938 0.4756  1 O 1.00
47 H 0.6513 0.1062 0.9756  1 O 1.00
48 H 0.1513 0.3938 0.0244  1 O 1.00
49 O 0.8443 0.2054 0.3455  1 H 1.02
50 O 0.3443 0.2946 0.6545  1 H 1.02
51 O 0.1557 0.7054 0.1545  1 H 1.02
52 O 0.6557 0.7946 0.8455  1 H 1.02
53 O 0.1557 0.7946 0.6545  1 H 1.02
54 O 0.6557 0.7054 0.3455  1 H 1.02
55 O 0.8443 0.2946 0.8455  1 H 1.02
56 O 0.3443 0.2054 0.1545  1 H 1.02
57 O 0.5649 0.0567 0.3160  1 H 1.02
58 O 0.0649 0.4433 0.6840  1 H 1.02
59 O 0.4351 0.5567 0.1840  1 H 1.02
60 O 0.9351 0.9433 0.8160  1 H 1.02
61 O 0.4351 0.9433 0.6840  1 H 1.02
62 O 0.9351 0.5567 0.3160  1 H 1.02
63 O 0.5649 0.4433 0.8160  1 H 1.02
64 O 0.0649 0.0567 0.1840  1 H 1.02
65 O 0.7157 0.0649 0.5436  1 H 1.01
66 O 0.2157 0.4351 0.4564  1 H 1.01
67 O 0.2843 0.5649 0.9564  1 H 1.01
68 O 0.7843 0.9351 0.0436  1 H 1.01
69 O 0.2843 0.9351 0.4564  1 H 1.01
70 O 0.7843 0.5649 0.5436  1 H 1.01
71 O 0.7157 0.4351 0.0436  1 H 1.01
72 O 0.2157 0.0649 0.9564  1 H 1.01
73 O 0.5714 0.3065 0.4412  1 H 1.00
74 O 0.0714 0.1935 0.5588  1 H 1.00
75 O 0.4286 0.8065 0.0588  1 H 1.00
76 O 0.9286 0.6935 0.9412  1 H 1.00
77 O 0.4286 0.6935 0.5588  1 H 1.00
78 O 0.9286 0.8065 0.4412  1 H 1.00
79 O 0.5714 0.1935 0.9412  1 H 1.00
80 O 0.0714 0.3065 0.0588  1 H 1.00

Results
Calculated volume in Å³/atom: 7.29
Density in Mg/m³: 1.95
DOS(E_F) in states/eV per cell: 0.00
Final energy in eV/atom: -6.5402
Symmetry: Pbca, No. 61

Question: What is the formula in the second record?
Answer: LiBH4O4

Question: Look up the calculated volume of the first one.
Answer: 10.61 Å³/atom

Question: Number 2 is which compound?
Answer: LiBH4O4